Entry from Alexandria via LeMat-Bulk: crystalline Mn2SnHO at its relaxed geometry (PBE with a Hubbard U).

Computed properties:
energy	-4.7164	eV/atom
total magnetic moment	10.1	μB per formula unit

POSCAR file:
```
Mn2SnHO
1.0
5.468 0.000 0.000
0.000 5.468 0.000
0.000 0.000 4.194
Mn Sn H O
2 1 1 1
Direct
0.000 0.500 0.000
0.500 0.000 0.000
0.000 0.000 0.000
0.500 0.500 0.500
0.000 0.000 0.500
```